First-principles (PBE-GGA) data for crystalline Lu2ZnS at its relaxed geometry, as listed in Alexandria.

Output
* uncorrected energy: -4.2181 eV/atom
* spin magnetization: 0.0 μB per formula unit
* E_form (uncorrected): -607 meV per atom
* symmetry: No. 166
* Fermi-level density of states: 3.5 states/eV/cell

Cell: 3.5708 3.5708 9.4008 Å, 79.05 79.05 60.00°
Closest atoms and distances in Å follow each position.
Fractional positions:
Zn: 0.0000 0.0000 0.0000  2 Lu 2.93
Lu: 0.1066 0.1066 0.6803  3 S 2.64, 1 Zn 2.93
Lu: 0.8934 0.8934 0.3197  3 S 2.64, 1 Zn 2.93
S: 0.5000 0.5000 0.5000  6 Lu 2.64

---

First-principles (PBE-GGA) data for crystalline Lu2ZnS4 at its relaxed geometry, as listed in Alexandria.

Output
* uncorrected energy: -5.5279 eV/atom
* spin magnetization: 0.0 μB per formula unit
* E_form (uncorrected): -1696 meV per atom
* symmetry: No. 62
* Fermi-level density of states: 0.0 states/eV/cell

Cell: 6.2672 7.7256 13.2938 Å, 90.00 90.00 90.00°
Closest atoms and distances in Å follow each position.
Fractional positions:
S: 0.7791 0.2500 0.9096  1 Zn 2.30
S: 0.7416 0.5099 0.6684  1 Zn 2.37
S: 0.7209 0.2500 0.4096  1 Zn 2.30
S: 0.2462 0.2500 0.5716  1 Zn 2.39, 1 Lu 2.67
S: 0.7538 0.7500 0.4284  1 Zn 2.39, 1 Lu 2.67
S: 0.7584 0.9901 0.1684  1 Zn 2.37
S: 0.2209 0.7500 0.0904  1 Zn 2.30
S: 0.2416 0.4901 0.8316  1 Zn 2.37
S: 0.2584 0.0099 0.3316  1 Zn 2.37
S: 0.7584 0.5099 0.1684  1 Zn 2.37
S: 0.2791 0.7500 0.5904  1 Zn 2.30
S: 0.2584 0.4901 0.3316  1 Zn 2.37
S: 0.7416 0.9901 0.6684  1 Zn 2.37
S: 0.2538 0.2500 0.0716  1 Zn 2.39, 1 Lu 2.67
S: 0.2416 0.0099 0.8316  1 Zn 2.37
S: 0.7462 0.7500 0.9284  1 Zn 2.39, 1 Lu 2.67
Lu: 0.0000 0.5000 0.0000  6 S 2.66-2.70
Lu: 0.5000 0.5000 0.5000  6 S 2.66-2.70
Lu: 0.5017 0.2500 0.2352  6 S 2.67-2.72
Lu: 0.9983 0.2500 0.7352  6 S 2.67-2.72
Lu: 0.5000 0.0000 0.5000  6 S 2.66-2.70
Lu: 0.0017 0.7500 0.2648  6 S 2.67-2.72
Lu: 0.4983 0.7500 0.7648  6 S 2.67-2.72
Lu: 0.0000 0.0000 0.0000  6 S 2.66-2.70
Zn: 0.5877 0.7500 0.0918  4 S 2.30-2.39
Zn: 0.9123 0.7500 0.5918  4 S 2.30-2.39
Zn: 0.4123 0.2500 0.9082  4 S 2.30-2.39
Zn: 0.0877 0.2500 0.4082  4 S 2.30-2.39